Entry w
Compound: Zr3MnRu
Source: Alexandria
Functional: PBE
Structure: optimized geometry

Structure (CIF):
```
data_Zr3MnRu
_cell_length_a 4.7062
_cell_length_b 4.7062
_cell_length_c 4.7062
_cell_angle_alpha 90.00
_cell_angle_beta 90.00
_cell_angle_gamma 90.00
_space_group_name_H-M_alt 'P m -3 m'
_space_group_IT_number 221
_space_group_name_Hall '-P 4 2 3'
loop_
_atom_site_label
_atom_site_type_symbol
_atom_site_fract_x
_atom_site_fract_y
_atom_site_fract_z
Zr1 Zr 0.0000 0.0000 0.5000
Mn1 Mn 0.0000 0.0000 0.0000
Ru1 Ru 0.5000 0.5000 0.5000
```

Results
- Mass density: 6.8 g/cm³
- Total magnetization: 0.0 μB per cell

Entry x
Compound: Zr3MnRu
Source: Alexandria
Functional: PBE
Structure: optimized geometry

Structure (CIF):
```
data_Zr3MnRu
_cell_length_a 4.9504
_cell_length_b 4.9504
_cell_length_c 4.9504
_cell_angle_alpha 90.00
_cell_angle_beta 90.00
_cell_angle_gamma 90.00
_space_group_name_H-M_alt 'P m -3 m'
_space_group_IT_number 221
_space_group_name_Hall '-P 4 2 3'
loop_
_atom_site_label
_atom_site_type_symbol
_atom_site_fract_x
_atom_site_fract_y
_atom_site_fract_z
Zr1 Zr 0.0000 0.0000 0.5000
Mn1 Mn 0.5000 0.5000 0.5000
Ru1 Ru 0.0000 0.0000 0.0000
```

Results
- Mass density: 5.9 g/cm³
- Total magnetization: 0.4 μB per cell

Out of the structures above, which one is the most stable? Solution: entry w.